Be2OsRu: PBEsol geometry, meta-GGA SCAN.

Cell and atoms, written as extended XYZ:
```
4
Lattice="2.7612 0.0000 0.0000 0.0000 2.7612 0.0000 0.0000 0.0000 5.6422" Properties=species:S:1:pos:R:3 pbc="T T T"
Ru 1.3806 1.3806 4.3866
Os 0.0000 0.0000 2.6787
Be 0.0000 0.0000 0.1757
Be 1.3806 1.3806 1.2223
```

Computed properties:
magnetic moment = 0.001 μB/f.u.
D(E_F) = 1.09 states/eV per cell
energy above the lowest structure with this stoichiometry = 0 meV per atom

---

TiSi6Mo2: PBEsol geometry, meta-GGA SCAN.

Cell and atoms, written as extended XYZ:
```
9
Lattice="4.6388 -0.0074 0.0000 -2.2951 4.0312 0.0000 0.0000 0.0000 6.4443" Properties=species:S:1:pos:R:3 pbc="T T T"
Mo 2.3194 -0.0037 1.0780
Mo -1.1476 2.0156 5.3663
Si -1.1985 3.3925 3.2221
Si 0.0022 1.3148 1.0856
Si 1.2011 3.3732 5.3586
Si 3.5421 0.6313 3.2221
Si 2.3415 2.7090 1.0856
Si 1.1426 0.6506 5.3586
Ti 1.1718 2.0119 3.2221
```

Computed properties:
energy relative to the elements, uncorrected = -457 meV per atom
magnetic moment = 0.000 μB/f.u.
D(E_F) = 3.48 states/eV per cell

---

FeTe4Pb: PBEsol geometry, meta-GGA SCAN.

Cell and atoms, written as extended XYZ:
```
6
Lattice="6.2484 0.0000 0.0000 3.1242 5.4113 0.0000 3.1242 1.8038 5.1018" Properties=species:S:1:pos:R:3 pbc="T T T"
Fe 9.3726 5.4113 3.8264
Pb 0.0000 0.0000 0.0000
Te 4.6933 2.7097 1.9160
Te 6.2484 3.6075 4.4556
Te 7.8036 2.7097 1.9160
Te 6.2484 5.4032 1.9160
```

Computed properties:
energy relative to the elements, uncorrected = 783 meV per atom
magnetic moment = 3.647 μB/f.u.
D(E_F) = 8.15 states/eV per cell

---

BeInOs: PBEsol geometry, meta-GGA SCAN.

Cell and atoms, written as extended XYZ:
```
3
Lattice="-0.6515 -0.9727 4.0379 -1.6968 -3.7084 1.0216 2.3524 -2.9476 1.8582" Properties=species:S:1:pos:R:3 pbc="T T T"
Be 0.0021 -3.8143 3.4588
Os 0.0000 0.0000 0.0000
In 0.0010 -1.9072 1.7294
```

Computed properties:
magnetic moment = 0.000 μB/f.u.
D(E_F) = 1.54 states/eV per cell
energy above the lowest structure with this stoichiometry = 635 meV per atom

---

LiSc2Pd: PBEsol geometry, meta-GGA SCAN.

Cell and atoms, written as extended XYZ:
```
4
Lattice="-3.6052 -1.0472 2.7593 -3.7175 -2.1923 -1.7556 -0.8448 -4.4363 1.1462" Properties=species:S:1:pos:R:3 pbc="T T T"
Sc -2.0419 -1.9189 0.5375
Sc -6.1257 -5.7568 1.6124
Pd -4.0838 -3.8379 1.0749
Li 0.0000 0.0000 0.0000
```

Computed properties:
magnetic moment = 0.002 μB/f.u.
calculated total energy = -16.4275 eV per atom
D(E_F) = 3.54 states/eV per cell

---

KBi3Rh: PBEsol geometry, meta-GGA SCAN.

Cell and atoms, written as extended XYZ:
```
5
Lattice="-1.7869 4.9573 -1.8618 -2.0295 1.1738 5.0732 4.8910 2.2982 1.4249" Properties=species:S:1:pos:R:3 pbc="T T T"
K 0.0000 0.0000 0.0000
Rh 0.5373 4.2146 2.3182
Bi -1.0148 0.5869 2.5366
Bi 2.4455 1.1491 0.7125
Bi -0.8935 2.4786 -0.9309
```

Computed properties:
magnetic moment = 2.072 μB/f.u.
calculated total energy = -53.7341 eV per atom
D(E_F) = 7.27 states/eV per cell

---

Question: Which value of magnetic moment does entry 4 give?
Answer: 0.000 μB/f.u.